No. 1
## CsCdTe2 (PBE)

Data for an optimized crystal structure of CsCdTe2.

Properties
Symmetry: R-3m (166)

abc: 5.9232 5.9232 5.9232
angles: 71.84 71.84 71.84
Last column: magnetic moment on the atom in μB.
Atoms (fractional coordinates):
Cs 0.5000 0.5000 0.5000  0.01
Te 0.7966 0.7966 0.7966  0.21
Te 0.2034 0.2034 0.2034  0.21
Cd 0.0000 0.0000 0.0000  -0.01

---

No. 2
## Nb5Fe (PBE)

Data for an optimized crystal structure of Nb5Fe.

Properties
Symmetry: P4/mmm (123)

abc: 3.2469 3.2469 9.7145
angles: 90.00 90.00 90.00
Last column: magnetic moment on the atom in μB.
Atoms (fractional coordinates):
Nb 0.0000 0.0000 0.6533  -0.27
Nb 0.5000 0.5000 0.8274  -0.07
Nb 0.0000 0.0000 0.0000  -0.03
Nb 0.5000 0.5000 0.1726  -0.07
Nb 0.0000 0.0000 0.3467  -0.27
Fe 0.5000 0.5000 0.5000  1.26

---

No. 3
## NaNi2Sb2 (PBE)

Data for an optimized crystal structure of NaNi2Sb2.

Properties
Symmetry: P4/mbm (127)

abc: 7.6558 7.6558 3.1586
angles: 90.00 90.00 90.00
Atoms (fractional coordinates):
Sb 0.1629 0.6629 0.5000
Sb 0.6629 0.8371 0.5000
Sb 0.8371 0.3371 0.5000
Sb 0.3371 0.1629 0.5000
Na 0.0000 0.0000 0.0000
Na 0.5000 0.5000 0.0000
Ni 0.3790 0.8790 0.0000
Ni 0.8790 0.6210 0.0000
Ni 0.6210 0.1210 0.0000
Ni 0.1210 0.3790 0.0000

---

no.,final energy (eV for the cell shown)
1,-9.508
2,-58.923
3,-43.143